## InAg2Sn2 (PBE)

Data for crystalline InAg2Sn2 at its relaxed geometry.

Formation energy   0.061 eV/atom
M_tot   0.00 μB per formula unit
SG   P-1 (2)

```
InAg2Sn2
1.0
-1.341 1.380 -4.559
6.128 -4.456 -0.452
-7.646 -3.065 1.855
In Ag Sn
2 4 4
Cartesian
2.860 -4.122 -3.567 In
-5.719 -2.018 0.412 In
5.124 -4.314 -1.470 Ag
0.396 -4.447 -2.079 Ag
-7.983 -1.827 -1.685 Ag
-3.254 -1.694 -1.077 Ag
1.781 -2.100 -1.086 Sn
-2.029 -4.182 -0.089 Sn
-0.830 -1.959 -3.066 Sn
-4.640 -4.040 -2.069 Sn
```

***

## RhSe2Br (PBE)

Data for crystalline RhSe2Br at its relaxed geometry.

Energy relative to the elements, uncorrected   0.91 eV/f.u.
M_tot   0.00 μB per formula unit
SG   P4mm (99)

```
RhSe2Br
1.0
-1.802 -2.952 -0.379
1.198 -1.125 3.066
-5.635 3.014 3.308
Br Rh Se
1 1 2
Cartesian
-3.113 1.665 1.827 Br
-4.930 0.437 4.060 Rh
-5.415 2.896 3.179 Se
-1.232 -1.541 1.889 Se
```

***

## AgMoW (PBE)

Data for crystalline AgMoW at its relaxed geometry.

Formation energy   0.507 eV/atom
M_tot   0.00 μB per formula unit
SG   P3m1 (156)

```
AgMoW
1.0
4.638 0.000 0.000
-2.319 4.017 0.000
0.000 0.000 2.647
Ag Mo W
1 1 1
Cartesian
0.000 0.000 2.630 Ag
0.000 2.678 0.965 Mo
2.319 1.339 1.700 W
```

***

## InP2PbS (PBE)

Data for crystalline InP2PbS at its relaxed geometry.

Energy relative to the elements, uncorrected   4.54 eV/f.u.
M_tot   1.91 μB per formula unit
SG   P4/mmm (123)

```
InP2PbS
1.0
5.295 0.000 0.000
0.000 5.295 0.000
0.000 0.000 5.283
Pb P S In
1 2 1 1
Cartesian
0.000 0.000 0.000 Pb
0.000 2.648 0.000 P
2.648 0.000 0.000 P
0.000 0.000 2.642 S
2.648 2.648 2.642 In
```

***

## K4ZrCl (PBE)

Data for crystalline K4ZrCl at its relaxed geometry.

Energy relative to the elements, uncorrected   3.06 eV/f.u.
M_tot   3.00 μB per formula unit
SG   F-43m (216)

```
K4ZrCl
1.0
0.000 5.322 5.322
5.322 0.000 5.322
5.322 5.322 0.000
K Zr Cl
4 1 1
Cartesian
3.992 6.652 6.652 K
6.652 6.652 3.992 K
6.652 3.992 6.652 K
3.992 3.992 3.992 K
7.983 7.983 7.983 Zr
0.000 0.000 0.000 Cl
```

***

## ZnAg2Pd3 (PBE)

Data for crystalline ZnAg2Pd3 at its relaxed geometry.

Formation energy   -0.222 eV/atom
M_tot   0.00 μB per formula unit
SG   Cmmm (65)

```
ZnAg2Pd3
1.0
4.433 0.000 0.019
2.216 6.645 0.009
-0.027 0.000 6.482
Zn Ag Pd
2 4 6
Cartesian
2.216 2.137 0.009 Zn
4.433 4.507 0.019 Zn
0.000 0.000 0.000 Ag
-0.014 0.000 3.241 Ag
2.203 2.203 3.250 Ag
4.419 4.442 3.260 Ag
4.412 2.305 5.026 Pd
2.210 0.000 1.563 Pd
2.210 4.340 1.484 Pd
4.427 2.305 1.493 Pd
2.195 4.340 5.017 Pd
2.196 0.000 4.938 Pd
```